PrNdZn | PBE | optimized geometry

```
PrNdZn
1.0
3.730 0.000 0.000
0.000 3.730 0.000
-1.865 -1.865 6.254
Pr Zn Nd
1 1 1
Direct
0.021 0.021 0.043 Pr
0.668 0.668 0.337 Zn
0.310 0.310 0.620 Nd
```

Results
E_tot in eV per formula unit: -11.40
D(E_F) in states/eV/f.u.: 3.38
Polymorph energy (0 for the lowest one) in meV/atom: 0
Size of the total moment in μB/f.u.: 0.20
SG: I4mm, No. 107
Energy of formation from the pure elements in meV per atom: -193